(1)
# MgZn3, relaxed, DFT PBEsol
data_MgZn3
_cell_length_a 3.954
_cell_length_b 3.951
_cell_length_c 4.872
_cell_angle_alpha 113.92
_cell_angle_beta 113.94
_cell_angle_gamma 90.00
_space_group_name_H-M_alt 'P 1'
_space_group_IT_number 1
loop_
_space_group_symop_operation_xyz
'x,y,z'
loop_
_atom_site_label
_atom_site_type_symbol
_atom_site_fract_x
_atom_site_fract_y
_atom_site_fract_z
Zn1 Zn 0.750 0.750 0.500
Zn2 Zn 0.250 0.250 0.500
Zn3 Zn 0.500 0.000 0.000
Mg1 Mg 0.000 0.500 0.000
# - DFT formation energy: -2.1 kJ per mole of atoms


(2)
# CdAs2AuSe, relaxed, DFT PBEsol
data_CdAs2AuSe
_cell_length_a 5.024
_cell_length_b 5.024
_cell_length_c 5.063
_cell_angle_alpha 90.00
_cell_angle_beta 90.00
_cell_angle_gamma 90.00
_space_group_name_H-M_alt 'P 1'
_space_group_IT_number 1
loop_
_space_group_symop_operation_xyz
'x,y,z'
loop_
_atom_site_label
_atom_site_type_symbol
_atom_site_fract_x
_atom_site_fract_y
_atom_site_fract_z
As1 As 0.000 0.500 0.000
As2 As 0.500 0.000 0.000
Au1 Au 0.500 0.500 0.500
Se1 Se 0.000 0.000 0.500
Cd1 Cd 0.000 0.000 0.000
# - Final energy: -0.0985 Ha/atom


(3)
# CdTeRu2, relaxed, DFT PBEsol
data_CdTeRu2
_cell_length_a 3.900
_cell_length_b 3.900
_cell_length_c 5.172
_cell_angle_alpha 112.15
_cell_angle_beta 112.15
_cell_angle_gamma 90.00
_space_group_name_H-M_alt 'P 1'
_space_group_IT_number 1
loop_
_space_group_symop_operation_xyz
'x,y,z'
loop_
_atom_site_label
_atom_site_type_symbol
_atom_site_fract_x
_atom_site_fract_y
_atom_site_fract_z
Cd1 Cd 0.250 0.750 0.500
Ru1 Ru 0.000 0.000 0.000
Ru2 Ru 0.750 0.250 0.500
Te1 Te 0.500 0.500 0.000
# - Energy above the lowest structure with this stoichiometry: 0.2279 eV per atom


(4)
# PbAuO2, relaxed, DFT PBEsol
data_PbAuO2
_cell_length_a 3.565
_cell_length_b 6.486
_cell_length_c 6.489
_cell_angle_alpha 98.83
_cell_angle_beta 105.94
_cell_angle_gamma 90.00
_space_group_name_H-M_alt 'P 1'
_space_group_IT_number 1
loop_
_space_group_symop_operation_xyz
'x,y,z'
loop_
_atom_site_label
_atom_site_type_symbol
_atom_site_fract_x
_atom_site_fract_y
_atom_site_fract_z
Pb1 Pb 0.500 0.000 0.000
Pb2 Pb 0.000 0.500 0.000
Au1 Au 0.250 0.210 0.501
Au2 Au 0.750 0.790 0.499
O1 O 0.588 0.734 0.176
O2 O 0.912 0.826 0.823
O3 O 0.412 0.266 0.824
O4 O 0.088 0.174 0.177
# - Final energy: -0.1900 Ha/atom


(5)
# Sr2NiIr, relaxed, DFT PBEsol
data_Sr2NiIr
_cell_length_a 3.585
_cell_length_b 3.585
_cell_length_c 8.702
_cell_angle_alpha 78.11
_cell_angle_beta 78.11
_cell_angle_gamma 60.00
_space_group_name_H-M_alt 'P 1'
_space_group_IT_number 1
loop_
_space_group_symop_operation_xyz
'x,y,z'
loop_
_atom_site_label
_atom_site_type_symbol
_atom_site_fract_x
_atom_site_fract_y
_atom_site_fract_z
Ir1 Ir 0.500 0.500 0.500
Ni1 Ni 0.000 0.000 0.000
Sr1 Sr 0.251 0.251 0.248
Sr2 Sr 0.749 0.749 0.752
# - DFT formation energy: 56.8 kJ per mole of atoms


(6)
# Mg2AuCl, relaxed, DFT PBEsol
data_Mg2AuCl
_cell_length_a 4.892
_cell_length_b 4.892
_cell_length_c 4.892
_cell_angle_alpha 60.00
_cell_angle_beta 60.00
_cell_angle_gamma 60.00
_space_group_name_H-M_alt 'P 1'
_space_group_IT_number 1
loop_
_space_group_symop_operation_xyz
'x,y,z'
loop_
_atom_site_label
_atom_site_type_symbol
_atom_site_fract_x
_atom_site_fract_y
_atom_site_fract_z
Au1 Au 0.500 0.500 0.500
Cl1 Cl 0.750 0.750 0.750
Mg1 Mg 0.000 0.000 0.000
Mg2 Mg 0.250 0.250 0.250
# - Energy above the lowest structure with this stoichiometry: 0.7077 eV per atom


(7)
# MnZn2Co, relaxed, DFT PBEsol
data_MnZn2Co
_cell_length_a 4.077
_cell_length_b 4.077
_cell_length_c 4.077
_cell_angle_alpha 60.00
_cell_angle_beta 60.00
_cell_angle_gamma 60.00
_space_group_name_H-M_alt 'P 1'
_space_group_IT_number 1
loop_
_space_group_symop_operation_xyz
'x,y,z'
loop_
_atom_site_label
_atom_site_type_symbol
_atom_site_fract_x
_atom_site_fract_y
_atom_site_fract_z
Zn1 Zn 0.250 0.250 0.250
Zn2 Zn 0.750 0.750 0.750
Mn1 Mn 0.500 0.500 0.500
Co1 Co 0.000 0.000 0.000
# - DFT formation energy: 3.0 kJ per mole of atoms
# - Energy above the lowest structure with this stoichiometry: 0.0424 eV per atom


(8)
# Sr5Zn, relaxed, DFT PBEsol
data_Sr5Zn
_cell_length_a 4.065
_cell_length_b 7.309
_cell_length_c 9.923
_cell_angle_alpha 68.94
_cell_angle_beta 78.18
_cell_angle_gamma 73.85
_space_group_name_H-M_alt 'P 1'
_space_group_IT_number 1
loop_
_space_group_symop_operation_xyz
'x,y,z'
loop_
_atom_site_label
_atom_site_type_symbol
_atom_site_fract_x
_atom_site_fract_y
_atom_site_fract_z
Sr1 Sr 0.126 0.123 0.626
Sr2 Sr 0.500 0.000 0.000
Sr3 Sr 0.874 0.877 0.374
Sr4 Sr 0.830 0.557 0.782
Sr5 Sr 0.170 0.443 0.218
Zn1 Zn 0.500 0.500 0.500
# - DFT formation energy: -1.2 kJ per mole of atoms
# - Energy above the lowest structure with this stoichiometry: 0.0279 eV per atom